Material: YBeIr
Method: DFT, PBE
State: optimized geometry

Summary:
For the total magnetic moment, the calculation gives 0.00 μB per cell. For the formation enthalpy at 0 K, the calculation gives -664.1 meV/atom. Its total energy is -7.015 eV per atom.

Structure (CIF):
```
data_YBeIr
_chemical_formula_sum 'Y2 Be2 Ir2'
_symmetry_space_group_name_H-M 'P 1'
_symmetry_Int_Tables_number 1
_symmetry_space_group_name_Hall 'P 1'
_cell_length_a 3.944
_cell_length_b 3.944
_cell_length_c 7.918
_cell_angle_alpha 90.00
_cell_angle_beta 90.00
_cell_angle_gamma 120.00
loop_
_atom_site_label
_atom_site_fract_x
_atom_site_fract_y
_atom_site_fract_z
_atom_site_occupancy
Y1 0.000 0.500 0.500 1
Y2 0.000 0.500 0.000 1
Be1 0.333 0.167 0.750 1
Be2 0.667 0.833 0.250 1
Ir1 0.667 0.833 0.750 1
Ir2 0.333 0.167 0.250 1
```

=====

Material: NaPHO3
Method: DFT, PBE
State: optimized geometry

Summary:
For the total magnetic moment, the calculation gives 4.00 μB per cell. Its total energy is -5.578 eV per atom.

Structure (CIF):
```
data_NaPHO3
_chemical_formula_sum 'Na4 P4 H4 O12'
_symmetry_space_group_name_H-M 'P 1'
_symmetry_Int_Tables_number 1
_symmetry_space_group_name_Hall 'P 1'
_cell_length_a 6.757
_cell_length_b 6.782
_cell_length_c 9.803
_cell_angle_alpha 82.51
_cell_angle_beta 101.35
_cell_angle_gamma 108.46
loop_
_atom_site_label
_atom_site_fract_x
_atom_site_fract_y
_atom_site_fract_z
_atom_site_occupancy
Na1 0.058 0.703 0.361 1
Na2 0.942 0.297 0.639 1
Na3 0.358 0.097 0.167 1
Na4 0.642 0.903 0.833 1
P1 0.262 0.271 0.414 1
P2 0.738 0.729 0.586 1
P3 0.521 0.669 0.288 1
P4 0.479 0.331 0.712 1
H1 0.278 0.213 0.937 1
H2 0.722 0.787 0.063 1
H3 0.796 0.233 0.206 1
H4 0.204 0.767 0.794 1
O1 0.431 0.254 0.555 1
O2 0.569 0.746 0.445 1
O3 0.353 0.760 0.210 1
O4 0.647 0.240 0.790 1
O5 0.275 0.293 0.767 1
O6 0.725 0.707 0.233 1
O7 0.185 0.064 0.353 1
O8 0.815 0.936 0.647 1
O9 0.113 0.381 0.439 1
O10 0.887 0.619 0.561 1
O11 0.424 0.416 0.310 1
O12 0.576 0.584 0.690 1
```

=====

Material: ReB2Te
Method: DFT, PBE
State: optimized geometry

Summary:
As for the formation energy (no corrections): 1544.7 meV per atom. For the total magnetic moment, the calculation gives 0.00 μB per cell. Its total energy is -5.691 eV per atom.

Structure (CIF):
```
data_ReB2Te
_chemical_formula_sum 'Re1 B2 Te1'
_symmetry_space_group_name_H-M 'P 1'
_symmetry_Int_Tables_number 1
_symmetry_space_group_name_Hall 'P 1'
_cell_length_a 4.153
_cell_length_b 4.153
_cell_length_c 4.153
_cell_angle_alpha 60.00
_cell_angle_beta 60.00
_cell_angle_gamma 60.00
loop_
_atom_site_label
_atom_site_fract_x
_atom_site_fract_y
_atom_site_fract_z
_atom_site_occupancy
Re1 0.500 0.500 0.500 1
B1 0.250 0.250 0.250 1
B2 0.750 0.750 0.750 1
Te1 0.000 0.000 0.000 1
```

=====

Material: LaTl2Zn
Method: DFT, PBE
State: optimized geometry

Summary:
For the total magnetic moment, the calculation gives 0.00 μB per cell. For the formation enthalpy at 0 K, the calculation gives -206.9 meV/atom. Its total energy is -2.940 eV per atom.

Structure (CIF):
```
data_LaTl2Zn
_chemical_formula_sum 'La1 Tl2 Zn1'
_symmetry_space_group_name_H-M 'P 1'
_symmetry_Int_Tables_number 1
_symmetry_space_group_name_Hall 'P 1'
_cell_length_a 5.648
_cell_length_b 5.648
_cell_length_c 4.872
_cell_angle_alpha 67.45
_cell_angle_beta 67.45
_cell_angle_gamma 50.72
loop_
_atom_site_label
_atom_site_fract_x
_atom_site_fract_y
_atom_site_fract_z
_atom_site_occupancy
La1 0.250 0.250 0.252 1
Tl1 0.000 0.000 0.991 1
Tl2 0.750 0.750 0.742 1
Zn1 0.500 0.500 0.515 1
```

=====

Material: Be2CdGe2
Method: DFT, PBE
State: optimized geometry

Summary:
For the total magnetic moment, the calculation gives 0.00 μB per cell. For the formation enthalpy at 0 K, the calculation gives 451.2 meV/atom. Its total energy is -3.069 eV per atom.

Structure (CIF):
```
data_Be2CdGe2
_chemical_formula_sum 'Be4 Cd2 Ge4'
_symmetry_space_group_name_H-M 'P 1'
_symmetry_Int_Tables_number 1
_symmetry_space_group_name_Hall 'P 1'
_cell_length_a 7.741
_cell_length_b 7.741
_cell_length_c 2.649
_cell_angle_alpha 90.00
_cell_angle_beta 90.00
_cell_angle_gamma 90.00
loop_
_atom_site_label
_atom_site_fract_x
_atom_site_fract_y
_atom_site_fract_z
_atom_site_occupancy
Be1 0.152 0.652 0.500 1
Be2 0.652 0.848 0.500 1
Be3 0.848 0.348 0.500 1
Be4 0.348 0.152 0.500 1
Ge1 0.360 0.860 0.000 1
Ge2 0.860 0.640 0.000 1
Ge3 0.640 0.140 0.000 1
Ge4 0.140 0.360 0.000 1
Cd1 0.000 0.000 0.000 1
Cd2 0.500 0.500 0.000 1
```

=====

Material: Ac2TiH2O6
Method: DFT, PBE
State: optimized geometry

Summary:
For the total magnetic moment, the calculation gives 0.00 μB per cell. Its total energy is -7.204 eV per atom.

Structure (CIF):
```
data_Ac2TiH2O6
_chemical_formula_sum 'Ac2 Ti1 H2 O6'
_symmetry_space_group_name_H-M 'P 1'
_symmetry_Int_Tables_number 1
_symmetry_space_group_name_Hall 'P 1'
_cell_length_a 5.321
_cell_length_b 5.321
_cell_length_c 5.848
_cell_angle_alpha 62.94
_cell_angle_beta 62.94
_cell_angle_gamma 60.00
loop_
_atom_site_label
_atom_site_fract_x
_atom_site_fract_y
_atom_site_fract_z
_atom_site_occupancy
Ac1 0.761 0.761 0.717 1
Ac2 0.239 0.239 0.283 1
Ti1 0.000 0.000 0.000 1
H1 0.419 0.419 0.744 1
H2 0.581 0.581 0.256 1
O1 0.749 0.749 0.234 1
O2 0.268 0.749 0.234 1
O3 0.749 0.268 0.234 1
O4 0.251 0.732 0.766 1
O5 0.732 0.251 0.766 1
O6 0.251 0.251 0.766 1
```

=====

Material: Tb2TmThN4
Method: DFT, PBE
State: optimized geometry

Summary:
As for the formation energy (no corrections): -1675.8 meV per atom. For the total magnetic moment, the calculation gives 0.00 μB per cell. Its total energy is -8.482 eV per atom.

Structure (CIF):
```
data_Tb2TmThN4
_chemical_formula_sum 'Tb2 Tm1 Th1 N4'
_symmetry_space_group_name_H-M 'P 1'
_symmetry_Int_Tables_number 1
_symmetry_space_group_name_Hall 'P 1'
_cell_length_a 3.530
_cell_length_b 6.091
_cell_length_c 6.095
_cell_angle_alpha 109.31
_cell_angle_beta 90.00
_cell_angle_gamma 90.00
loop_
_atom_site_label
_atom_site_fract_x
_atom_site_fract_y
_atom_site_fract_z
_atom_site_occupancy
Tb1 0.500 0.000 0.500 1
Tb2 0.000 0.500 0.500 1
Tm1 0.000 0.000 0.000 1
Th1 0.500 0.500 0.000 1
N1 0.500 0.246 0.245 1
N2 0.500 0.754 0.755 1
N3 0.000 0.246 0.751 1
N4 0.000 0.754 0.249 1
```

=====

Material: SrTa2Hg
Method: DFT, PBE
State: optimized geometry

Summary:
For the total magnetic moment, the calculation gives 0.00 μB per cell. For the formation enthalpy at 0 K, the calculation gives 846.5 meV/atom. Its total energy is -5.576 eV per atom.

Structure (CIF):
```
data_SrTa2Hg
_chemical_formula_sum 'Sr1 Ta2 Hg1'
_symmetry_space_group_name_H-M 'P 1'
_symmetry_Int_Tables_number 1
_symmetry_space_group_name_Hall 'P 1'
_cell_length_a 10.993
_cell_length_b 10.993
_cell_length_c 10.993
_cell_angle_alpha 16.16
_cell_angle_beta 16.16
_cell_angle_gamma 16.16
loop_
_atom_site_label
_atom_site_fract_x
_atom_site_fract_y
_atom_site_fract_z
_atom_site_occupancy
Hg1 0.250 0.250 0.250 1
Sr1 0.750 0.750 0.750 1
Ta1 0.992 0.992 0.992 1
Ta2 0.508 0.508 0.508 1
```

=====

| no. | V (Å³/atom) |
| --- | --- |
| 1 | 17.780 |
| 2 | 17.363 |
| 3 | 12.665 |
| 4 | 27.236 |
| 5 | 15.874 |
| 6 | 11.094 |
| 7 | 15.461 |
| 8 | 22.427 |